(1)
Below is a relaxed MnGaPd crystal, with properties calculated at the PBE level.

Calculated values
- DOS(E_F) (states/eV/cell) = 2.02
- mass density (g cm⁻³) = 8.65

```
MnGaPd
1.0
-0.443 -3.036 0.603
2.510 -0.709 -1.724
1.595 2.221 4.244
Mn Pd Ga
1 1 1
Direct
0.611 0.611 0.222
0.290 0.290 0.580
0.949 0.949 0.899
```

***

(2)
Below is a relaxed Mn3GaPd6 crystal, with properties calculated at the PBE level.

Calculated values
- ΔE to the lowest computed polymorph (meV/atom) = 513
- DOS(E_F) (states/eV/cell) = 19.09
- mass density (g cm⁻³) = 9.24

```
Mn3GaPd6
1.0
-1.737 -5.605 -3.479
5.797 1.048 -3.439
2.966 -3.389 5.124
Mn Pd Ga
6 12 2
Direct
0.937 0.937 0.604
0.604 0.937 0.937
0.396 0.063 0.063
0.063 0.063 0.396
0.063 0.396 0.063
0.937 0.604 0.937
0.773 0.221 0.221
0.430 0.430 0.146
0.221 0.221 0.773
0.570 0.854 0.570
0.221 0.773 0.221
0.854 0.570 0.570
0.430 0.146 0.430
0.227 0.779 0.779
0.779 0.779 0.227
0.779 0.227 0.779
0.146 0.430 0.430
0.570 0.570 0.854
0.000 0.000 0.000
0.500 0.500 0.500
```

***

Number 1: VASP energy -0.447 Ry per atom. Number 2: VASP energy -0.439 Ry per atom.